No. 1
Pr8Si3HgBr4: relaxed, PBE.

Geometry as CIF:
```
data_Pr8Si3HgBr4
_cell_length_a 8.6952
_cell_length_b 8.6952
_cell_length_c 21.8124
_cell_angle_alpha 90.00
_cell_angle_beta 90.00
_cell_angle_gamma 120.00
_symmetry_space_group_name_H-M 'R -3 m'
_symmetry_Int_Tables_number 166
_symmetry_space_group_name_Hall '-R 3 2"'
loop_
_atom_site_label
_atom_site_type_symbol
_atom_site_fract_x
_atom_site_fract_y
_atom_site_fract_z
Pr1 Pr 0.0000 0.0000 0.2380
Pr2 Pr 0.0126 0.5063 0.7587
Si1 Si 0.0000 0.5000 0.5000
Hg1 Hg 0.0000 0.0000 0.5000
Br1 Br 0.0000 0.0000 0.0000
Br2 Br 0.0000 0.5000 0.0000
```

DOS(E_F): 24.20 states/eV/cell
Spin magnetization: 0.000 μB/atom
Uncorrected formation energy: -0.99 eV/atom
Energy: -232.178 eV per cell



No. 2
Pr4HgTe2Br: relaxed, PBE.

Geometry as CIF:
```
data_Pr4HgTe2Br
_cell_length_a 7.742
_cell_length_b 4.410
_cell_length_c 7.845
_cell_angle_alpha 90.00
_cell_angle_beta 108.38
_cell_angle_gamma 90.00
_symmetry_space_group_name_H-M 'P 1 2/m 1'
_symmetry_Int_Tables_number 10
loop_
_symmetry_equiv_pos_as_xyz
'x,y,z'
'-x,-y,-z'
'-x,y,-z'
'x,-y,z'
loop_
_atom_site_label
_atom_site_type_symbol
_atom_site_fract_x
_atom_site_fract_y
_atom_site_fract_z
Pr1 Pr 0.241 0.000 0.251
Pr2 Pr 0.244 0.500 0.743
Hg1 Hg 0.000 0.000 0.500
Te1 Te 0.000 0.500 0.000
Te2 Te 0.500 0.000 0.000
Br1 Br 0.500 0.500 0.500
```

DOS(E_F): 4.37 states/eV/cell
Spin magnetization: 0.000 μB/atom
Uncorrected formation energy: -1.14 eV/atom
Energy: -36.460 eV per cell